Compound: LaTm2P
Source: Alexandria via LeMat-Bulk
Functional: PBE-GGA
Structure: relaxed

extended XYZ file:
```
4
Lattice="1.846 1.066 10.317 -1.846 1.066 10.317 0.000 -2.132 10.317" Properties=species:S:1:pos:R:3 pbc="T T T"
La 0.000 0.000 0.000
Tm 0.000 0.000 3.541
Tm 0.000 0.000 27.409
P 0.000 0.000 15.475
```

Summary:
* space-group type: No. 166
* raw total energy: -5.38 eV per atom
* magnetic moment: 0.00 Bohr magnetons per cell
* crystal system: trigonal
* calculated density: 6.92 g/cm³